Here is a geometry-optimized Fe3Ag structure from Alexandria via LeMat-Bulk. Energies are from PBE.

Calculated values
Symmetry: Pm-3n (223)
Formation energy, eV per formula unit: 1.55
ρ, Mg/m³: 8.378
Calculated volume, Å³/atom: 13.646
Total DFT energy (no corrections), eV/f.u.: -26.69

```
Fe3Ag
1.0
4.7793 0.0000 0.0000
0.0000 4.7793 0.0000
0.0000 0.0000 4.7793
Fe Ag
6 2
Direct
0.0000 0.2500 0.5000
0.0000 0.7500 0.5000
0.2500 0.5000 0.0000
0.5000 0.0000 0.2500
0.5000 0.0000 0.7500
0.7500 0.5000 0.0000
0.0000 0.0000 0.0000
0.5000 0.5000 0.5000
```